A relaxed Tb2LuIn3AgPt2 crystal. Source: OQMD, functional PBE.

Structure (CIF):
```
data_Tb2LuIn3AgPt2
_space_group_name_H-M_alt 'A m m 2'
_space_group_IT_number 38
_space_group_name_Hall 'A 2 -2'
_cell_length_a 3.758
_cell_length_b 13.507
_cell_length_c 7.826
_cell_angle_alpha 90.00
_cell_angle_beta 90.00
_cell_angle_gamma 90.00
loop_
_atom_site_label
_atom_site_fract_x
_atom_site_fract_y
_atom_site_fract_z
Tb1 0.000 0.205 0.000
Lu1 0.000 0.000 0.615
In1 0.500 0.000 0.935
In2 0.500 0.134 0.340
Ag1 0.000 0.000 0.206
Pt1 0.500 0.164 0.703
```

Summary:
total magnetic moment	0.00	μB per formula unit
E	-4.9216	eV per atom

***

A relaxed YLu2In3AgPt2 crystal. Source: OQMD, functional PBE.

Structure (CIF):
```
data_YLu2In3AgPt2
_space_group_name_H-M_alt 'A m m 2'
_space_group_IT_number 38
_space_group_name_Hall 'A 2 -2'
_cell_length_a 3.722
_cell_length_b 13.552
_cell_length_c 7.764
_cell_angle_alpha 90.00
_cell_angle_beta 90.00
_cell_angle_gamma 90.00
loop_
_atom_site_label
_atom_site_fract_x
_atom_site_fract_y
_atom_site_fract_z
Y1 0.000 0.000 0.000
Lu1 0.000 0.205 0.613
In1 0.500 0.000 0.677
In2 0.500 0.136 0.274
Ag1 0.000 0.000 0.409
Pt1 0.500 0.170 0.907
```

Summary:
total magnetic moment	0.00	μB per formula unit
E	-5.1102	eV per atom

***

A relaxed LuInAgTe3 crystal. Source: OQMD, functional PBE.

Structure (CIF):
```
data_LuInAgTe3
_space_group_name_H-M_alt 'C 1 2/m 1'
_space_group_IT_number 12
_space_group_name_Hall '-C 2y'
_cell_length_a 19.225
_cell_length_b 4.210
_cell_length_c 8.989
_cell_angle_alpha 90.00
_cell_angle_beta 101.62
_cell_angle_gamma 90.00
loop_
_atom_site_label
_atom_site_fract_x
_atom_site_fract_y
_atom_site_fract_z
Lu1 0.162 0.000 0.089
In1 0.128 0.000 0.574
Ag1 0.040 0.500 0.215
Te1 0.000 0.000 0.000
Te2 0.000 0.500 0.500
Te3 0.176 0.500 0.854
Te4 0.187 0.500 0.337
```

Summary:
energy above the most stable polymorph in this dataset	0.14	eV per formula unit
total magnetic moment	0.00	μB per formula unit

***

A relaxed LuInAgTe3 crystal. Source: OQMD, functional PBE.

Structure (CIF):
```
data_LuInAgTe3
_space_group_name_H-M_alt 'C m c m'
_space_group_IT_number 63
_space_group_name_Hall '-C 2c 2'
_cell_length_a 4.166
_cell_length_b 14.962
_cell_length_c 11.171
_cell_angle_alpha 90.00
_cell_angle_beta 90.00
_cell_angle_gamma 90.00
loop_
_atom_site_label
_atom_site_fract_x
_atom_site_fract_y
_atom_site_fract_z
Lu1 0.000 0.000 0.000
In1 0.000 0.233 0.250
Ag1 0.000 0.468 0.750
Te1 0.000 0.093 0.750
Te2 0.000 0.357 0.550
```

Summary:
energy above the most stable polymorph in this dataset	0.00	eV per formula unit
total magnetic moment	0.01	μB per formula unit

***

A relaxed MgInAg2 crystal. Source: OQMD, functional PBE.

Structure (CIF):
```
data_MgInAg2
_space_group_name_H-M_alt 'P 63/m m c'
_space_group_IT_number 194
_space_group_name_Hall '-P 6c 2c'
_cell_length_a 4.6910
_cell_length_b 4.6910
_cell_length_c 8.5526
_cell_angle_alpha 90.00
_cell_angle_beta 90.00
_cell_angle_gamma 120.00
loop_
_atom_site_label
_atom_site_fract_x
_atom_site_fract_y
_atom_site_fract_z
Mg1 0.3333 0.6667 0.2500
In1 0.0000 0.0000 0.0000
Ag1 0.3333 0.6667 0.5885
```

Summary:
energy above the most stable polymorph in this dataset	0.12	eV per formula unit

***

A relaxed MgInAg2 crystal. Source: OQMD, functional PBE.

Structure (CIF):
```
data_MgInAg2
_space_group_name_H-M_alt 'F m -3 m'
_space_group_IT_number 225
_space_group_name_Hall '-F 4 2 3'
_cell_length_a 6.693
_cell_length_b 6.693
_cell_length_c 6.693
_cell_angle_alpha 90.00
_cell_angle_beta 90.00
_cell_angle_gamma 90.00
loop_
_atom_site_label
_atom_site_fract_x
_atom_site_fract_y
_atom_site_fract_z
Mg1 0.000 0.000 0.000
In1 0.000 0.000 0.500
Ag1 0.250 0.250 0.250
```

Summary:
energy above the most stable polymorph in this dataset	0.02	eV per formula unit

***

A relaxed MgInAg2 crystal. Source: OQMD, functional PBE.

Structure (CIF):
```
data_MgInAg2
_space_group_name_H-M_alt 'I m m a'
_space_group_IT_number 74
_space_group_name_Hall '-I 2b 2'
_cell_length_a 6.566
_cell_length_b 7.403
_cell_length_c 6.355
_cell_angle_alpha 90.00
_cell_angle_beta 90.00
_cell_angle_gamma 90.00
loop_
_atom_site_label
_atom_site_fract_x
_atom_site_fract_y
_atom_site_fract_z
Mg1 0.000 0.250 0.000
In1 0.000 0.250 0.500
Ag1 0.250 0.001 0.250
```

Summary:
energy above the most stable polymorph in this dataset	0.09	eV per formula unit

***

A relaxed MgInAg2 crystal. Source: OQMD, functional PBE.

Structure (CIF):
```
data_MgInAg2
_space_group_name_H-M_alt 'P 4/m m m'
_space_group_IT_number 123
_space_group_name_Hall '-P 4 2'
_cell_length_a 3.454
_cell_length_b 3.454
_cell_length_c 6.521
_cell_angle_alpha 90.00
_cell_angle_beta 90.00
_cell_angle_gamma 90.00
loop_
_atom_site_label
_atom_site_fract_x
_atom_site_fract_y
_atom_site_fract_z
Mg1 0.000 0.000 0.000
In1 0.000 0.000 0.500
Ag1 0.500 0.500 0.231
```

Summary:
energy above the most stable polymorph in this dataset	0.07	eV per formula unit